VASP calculation (GGA-PBE) on a geometry-optimized Y2ThH8 structure.

Cell lengths 3.6213, 5.5408, 10.9405 Å; angles 90.00, 90.00, 90.00 degrees
With the nearest neighbours (Å) after each atom.
Space group Immm (No. 71)
Unique sites:
Y1 0.0000 0.0000 0.1683 x4  8 H 2.21-2.32
Th1 0.0000 0.0000 0.5000 x2  12 H 2.33-2.46
H1 0.0000 0.2214 0.0000 x4  2 Y 2.21, 3 H 2.27-2.45, 2 Th 2.38
H2 0.0000 0.2620 0.3336 x8  3 Y 2.24-2.32, 3 H 2.33-2.39, 1 Th 2.33
H3 0.0000 0.5000 0.1517 x4  8 H 2.27-2.39, 2 Th 2.46

Values from the calculation:
D(E_F)   4.09 states/eV/cell
Electronic total energy   -4.85 eV/atom